DFT (PBE with a Hubbard U) results for La2CoIO after structural relaxation.

Output
* energy: -24.653 eV for the cell shown
* total magnetic moment: 0.0 μB per formula unit

Lattice parameters (Å, degrees): 5.4208 3.8567 5.4208 90.00 90.00 90.00
Last column: nearest neighbours and their distance in Å.
Sites, in units of the cell vectors:
La: 0.0000 0.0000 0.5000  2 Co 2.71
La: 0.5000 0.0000 0.0000  2 Co 2.71
I: 0.5000 0.5000 0.5000  8 La 3.33
O: 0.0000 0.5000 0.0000  2 Co 1.93
Co: 0.0000 0.0000 0.0000  2 O 1.93